Record 1
# PBE-GGA Zr3Ge2H, optimized geometry
# * Fermi-level density of states: 0.466 states/eV/atom
# * total energy: -6.9865 eV per atom
# * total magnetic moment: 0.0 μB per cell
# * mass density: 6.721 g/cm3
data_Zr3Ge2H
_chemical_formula_sum 'Zr12 Ge8 H4'
_cell_length_a 10.268
_cell_length_b 5.552
_cell_length_c 7.515
_cell_angle_alpha 90.00
_cell_angle_beta 104.37
_cell_angle_gamma 90.00
_space_group_name_H-M_alt 'C 1 2/c 1'
_space_group_IT_number 15
loop_
_space_group_symop_operation_xyz
'x,y,z'
'-x,-y,-z'
'-x,y,-z+1/2'
'x,-y,z+1/2'
'x+1/2,y+1/2,z'
'-x+1/2,-y+1/2,-z'
'-x+1/2,y+1/2,-z+1/2'
'x+1/2,-y+1/2,z+1/2'
loop_
_atom_site_label
_atom_site_fract_x
_atom_site_fract_y
_atom_site_fract_z
Zr1 0.000 0.148 0.250
Zr2 0.148 0.366 0.648
Ge1 0.152 0.127 0.007
H1 0.000 0.499 0.250

=====

Record 2
# PBE-GGA ZrGeH3, optimized geometry
# * Fermi-level density of states: 0.645 states/eV/atom
# * total magnetic moment: 0.0 μB per cell
# * distance to the lowest polymorph of the same formula: 0 meV/atom
# * mass density: 4.956 g/cm3
data_ZrGeH3
_chemical_formula_sum 'Zr1 Ge1 H3'
_cell_length_a 3.824
_cell_length_b 3.824
_cell_length_c 3.824
_cell_angle_alpha 90.00
_cell_angle_beta 90.00
_cell_angle_gamma 90.00
_space_group_name_H-M_alt 'P m -3 m'
_space_group_IT_number 221
_space_group_name_Hall '-P 4 2 3'
loop_
_atom_site_label
_atom_site_fract_x
_atom_site_fract_y
_atom_site_fract_z
Zr1 0.000 0.000 0.000
Ge1 0.500 0.500 0.500
H1 0.000 0.000 0.500

=====

Record 3
# PBE-GGA ZrGeH, optimized geometry
# * Fermi-level density of states: 0.344 states/eV/atom
# * total magnetic moment: 0.0 μB per cell
# * distance to the lowest polymorph of the same formula: 17 meV/atom
# * mass density: 6.410 g/cm3
data_ZrGeH
_chemical_formula_sum 'Zr1 Ge1 H1'
_cell_length_a 3.5095
_cell_length_b 3.5095
_cell_length_c 4.0040
_cell_angle_alpha 90.00
_cell_angle_beta 90.00
_cell_angle_gamma 120.00
_space_group_name_H-M_alt 'P 3 m 1'
_space_group_IT_number 156
loop_
_space_group_symop_operation_xyz
'x,y,z'
'-y,x-y,z'
'-x+y,-x,z'
'-y,-x,z'
'-x+y,y,z'
'x,x-y,z'
loop_
_atom_site_label
_atom_site_fract_x
_atom_site_fract_y
_atom_site_fract_z
Zr1 0.0000 0.0000 0.0000
Ge1 0.3333 0.6667 0.5001
H1 0.6667 0.3333 0.0016

=====

Record 4
# PBE-GGA Zr3GeH, optimized geometry
# * Fermi-level density of states: 1.512 states/eV/atom
# * total magnetic moment: 0.0 μB per cell
# * distance to the lowest polymorph of the same formula: 2 meV/atom
# * mass density: 6.861 g/cm3
data_Zr3GeH
_chemical_formula_sum 'Zr3 Ge1 H1'
_cell_length_a 4.381
_cell_length_b 4.381
_cell_length_c 4.381
_cell_angle_alpha 90.00
_cell_angle_beta 90.00
_cell_angle_gamma 90.00
_space_group_name_H-M_alt 'P m -3 m'
_space_group_IT_number 221
_space_group_name_Hall '-P 4 2 3'
loop_
_atom_site_label
_atom_site_fract_x
_atom_site_fract_y
_atom_site_fract_z
Zr1 0.000 0.000 0.500
Ge1 0.500 0.500 0.500
H1 0.000 0.000 0.000

=====

Record 5
# PBE-GGA Zr2GeH2, optimized geometry
# * Fermi-level density of states: 0.439 states/eV/atom
# * total magnetic moment: 0.0 μB per cell
# * distance to the lowest polymorph of the same formula: 32 meV/atom
# * mass density: 6.278 g/cm3
data_Zr2GeH2
_chemical_formula_sum 'Zr16 Ge8 H16'
_cell_length_a 6.209
_cell_length_b 9.135
_cell_length_c 9.591
_cell_angle_alpha 90.00
_cell_angle_beta 90.00
_cell_angle_gamma 90.00
_space_group_name_H-M_alt 'F d d d'
_space_group_IT_number 70
loop_
_space_group_symop_operation_xyz
'x,y,z'
'-x,-y,-z'
'-x+1/4,-y+1/4,z'
'x+1/4,y+1/4,-z'
'x,-y+1/4,-z+1/4'
'-x,y+1/4,z+1/4'
'-x+1/4,y,-z+1/4'
'x+1/4,-y,z+1/4'
'x,y+1/2,z+1/2'
'-x,-y+1/2,-z+1/2'
'-x+1/4,-y+3/4,z+1/2'
'x+1/4,y+3/4,-z+1/2'
'x,-y+3/4,-z+3/4'
'-x,y+3/4,z+3/4'
'-x+1/4,y+1/2,-z+3/4'
'x+1/4,-y+1/2,z+3/4'
'x+1/2,y,z+1/2'
'-x+1/2,-y,-z+1/2'
'-x+3/4,-y+1/4,z+1/2'
'x+3/4,y+1/4,-z+1/2'
'x+1/2,-y+1/4,-z+3/4'
'-x+1/2,y+1/4,z+3/4'
'-x+3/4,y,-z+3/4'
'x+3/4,-y,z+3/4'
'x+1/2,y+1/2,z'
'-x+1/2,-y+1/2,-z'
'-x+3/4,-y+3/4,z'
'x+3/4,y+3/4,-z'
'x+1/2,-y+3/4,-z+1/4'
'-x+1/2,y+3/4,z+1/4'
'-x+3/4,y+1/2,-z+1/4'
'x+3/4,-y+1/2,z+1/4'
loop_
_atom_site_label
_atom_site_fract_x
_atom_site_fract_y
_atom_site_fract_z
Zr1 0.125 0.334 0.125
Ge1 0.125 0.125 0.625
H1 0.125 0.125 0.012

=====

Record 6
# PBE-GGA ZrGeH, optimized geometry
# * Fermi-level density of states: 0.149 states/eV/atom
# * total magnetic moment: 0.0 μB per cell
# * distance to the lowest polymorph of the same formula: 0 meV/atom
# * mass density: 6.387 g/cm3
data_ZrGeH
_chemical_formula_sum 'Zr2 Ge2 H2'
_cell_length_a 3.725
_cell_length_b 5.365
_cell_length_c 5.392
_cell_angle_alpha 119.82
_cell_angle_beta 90.06
_cell_angle_gamma 110.20
_space_group_name_H-M_alt 'P -1'
_space_group_IT_number 2
loop_
_space_group_symop_operation_xyz
'x,y,z'
'-x,-y,-z'
loop_
_atom_site_label
_atom_site_fract_x
_atom_site_fract_y
_atom_site_fract_z
Zr1 0.199 0.398 0.176
Ge1 0.483 0.967 0.729
H1 0.202 0.402 0.800

=====

Record 7
# PBE-GGA Zr2GeH2, optimized geometry
# * Fermi-level density of states: 0.807 states/eV/atom
# * total magnetic moment: 0.4 μB per cell
# * distance to the lowest polymorph of the same formula: 0 meV/atom
# * mass density: 6.426 g/cm3
data_Zr2GeH2
_chemical_formula_sum 'Zr4 Ge2 H4'
_cell_length_a 3.435
_cell_length_b 3.435
_cell_length_c 11.264
_cell_angle_alpha 90.00
_cell_angle_beta 90.00
_cell_angle_gamma 90.00
_space_group_name_H-M_alt 'I 4/m m m'
_space_group_IT_number 139
_space_group_name_Hall '-I 4 2'
loop_
_atom_site_label
_atom_site_fract_x
_atom_site_fract_y
_atom_site_fract_z
Zr1 0.000 0.000 0.135
Ge1 0.000 0.000 0.500
H1 0.000 0.500 0.250

=====

Record 8
# PBE-GGA ZrGe2H2, optimized geometry
# * Fermi-level density of states: 0.138 states/eV/atom
# * total energy: -4.8959 eV per atom
# * total magnetic moment: 0.0 μB per cell
# * mass density: 6.212 g/cm3
data_ZrGe2H2
_chemical_formula_sum 'Zr2 Ge4 H4'
_cell_length_a 5.829
_cell_length_b 5.829
_cell_length_c 3.753
_cell_angle_alpha 90.00
_cell_angle_beta 90.00
_cell_angle_gamma 90.00
_space_group_name_H-M_alt 'P 4/m b m'
_space_group_IT_number 127
_space_group_name_Hall '-P 4 2ab'
loop_
_atom_site_label
_atom_site_fract_x
_atom_site_fract_y
_atom_site_fract_z
Zr1 0.000 0.000 0.000
Ge1 0.153 0.347 0.500
H1 0.183 0.683 0.000

=====

Record 9
# PBE-GGA Zr6Ge2H, optimized geometry
# * Fermi-level density of states: 1.213 states/eV/atom
# * total energy: -7.1581 eV per atom
# * total magnetic moment: 0.0 μB per cell
# * mass density: 5.869 g/cm3
data_Zr6Ge2H
_chemical_formula_sum 'Zr12 Ge4 H2'
_cell_length_a 5.956
_cell_length_b 5.956
_cell_length_c 11.064
_cell_angle_alpha 90.00
_cell_angle_beta 90.00
_cell_angle_gamma 90.00
_space_group_name_H-M_alt 'P 42/m n m'
_space_group_IT_number 136
_space_group_name_Hall '-P 4n 2n'
loop_
_atom_site_label
_atom_site_fract_x
_atom_site_fract_y
_atom_site_fract_z
Zr1 0.194 0.194 0.143
Zr2 0.228 0.228 0.500
Ge1 0.000 0.000 0.332
H1 0.000 0.000 0.000

=====

Record 10
# PBE-GGA ZrGeH, optimized geometry
# * Fermi-level density of states: 0.322 states/eV/atom
# * total magnetic moment: 0.0 μB per cell
# * distance to the lowest polymorph of the same formula: 62 meV/atom
# * mass density: 6.510 g/cm3
data_ZrGeH
_chemical_formula_sum 'Zr4 Ge4 H4'
_cell_length_a 8.198
_cell_length_b 3.528
_cell_length_c 5.816
_cell_angle_alpha 90.00
_cell_angle_beta 90.00
_cell_angle_gamma 90.00
_space_group_name_H-M_alt 'P n m a'
_space_group_IT_number 62
loop_
_space_group_symop_operation_xyz
'x,y,z'
'-x,-y,-z'
'-x+1/2,-y,z+1/2'
'x+1/2,y,-z+1/2'
'x+1/2,-y+1/2,-z+1/2'
'-x+1/2,y+1/2,z+1/2'
'-x,y+1/2,-z'
'x,-y+1/2,z'
loop_
_atom_site_label
_atom_site_fract_x
_atom_site_fract_y
_atom_site_fract_z
Zr1 0.208 0.250 0.060
Ge1 0.008 0.250 0.669
H1 0.222 0.750 0.894

=====

Record 11
# PBE-GGA ZrGeH3, optimized geometry
# * Fermi-level density of states: 0.794 states/eV/atom
# * total magnetic moment: 0.0 μB per cell
# * distance to the lowest polymorph of the same formula: 363 meV/atom
# * mass density: 5.644 g/cm3
data_ZrGeH3
_chemical_formula_sum 'Zr1 Ge1 H3'
_cell_length_a 3.662
_cell_length_b 3.662
_cell_length_c 3.662
_cell_angle_alpha 90.00
_cell_angle_beta 90.00
_cell_angle_gamma 90.00
_space_group_name_H-M_alt 'P m -3 m'
_space_group_IT_number 221
_space_group_name_Hall '-P 4 2 3'
loop_
_atom_site_label
_atom_site_fract_x
_atom_site_fract_y
_atom_site_fract_z
Zr1 0.000 0.000 0.000
Ge1 0.500 0.500 0.500
H1 0.000 0.500 0.500

=====

Record 12
# PBE-GGA Zr4GeH, optimized geometry
# * Fermi-level density of states: 0.965 states/eV/atom
# * total energy: -7.2810 eV per atom
# * total magnetic moment: 0.0 μB per cell
# * mass density: 6.031 g/cm3
data_Zr4GeH
_chemical_formula_sum 'Zr16 Ge4 H4'
_cell_length_a 8.585
_cell_length_b 8.585
_cell_length_c 6.554
_cell_angle_alpha 90.00
_cell_angle_beta 90.00
_cell_angle_gamma 90.00
_space_group_name_H-M_alt 'I 41/a m d'
_space_group_IT_number 141
loop_
_space_group_symop_operation_xyz
'x,y,z'
'-x,-y,-z'
'-y+1/4,x+3/4,z+1/4'
'y+1/4,-x+3/4,-z+1/4'
'-x+1/2,-y,z+1/2'
'x+1/2,y,-z+1/2'
'y+1/4,-x+1/4,z+3/4'
'-y+1/4,x+1/4,-z+3/4'
'x,-y,-z'
'-x,y,z'
'-y+1/4,-x+1/4,-z+3/4'
'y+1/4,x+1/4,z+3/4'
'-x+1/2,y,-z+1/2'
'x+1/2,-y,z+1/2'
'y+1/4,x+3/4,-z+1/4'
'-y+1/4,-x+3/4,z+1/4'
'x+1/2,y+1/2,z+1/2'
'-x+1/2,-y+1/2,-z+1/2'
'-y+3/4,x+1/4,z+3/4'
'y+3/4,-x+1/4,-z+3/4'
'-x,-y+1/2,z'
'x,y+1/2,-z'
'y+3/4,-x+3/4,z+1/4'
'-y+3/4,x+3/4,-z+1/4'
'x+1/2,-y+1/2,-z+1/2'
'-x+1/2,y+1/2,z+1/2'
'-y+3/4,-x+3/4,-z+1/4'
'y+3/4,x+3/4,z+1/4'
'-x,y+1/2,-z'
'x,-y+1/2,z'
'y+3/4,x+1/4,-z+3/4'
'-y+3/4,-x+1/4,z+3/4'
loop_
_atom_site_label
_atom_site_fract_x
_atom_site_fract_y
_atom_site_fract_z
Zr1 0.000 0.049 0.230
Ge1 0.000 0.250 0.875
H1 0.000 0.250 0.375

=====

> What is the total magnetic moment in the ninth record?

0.0 μB per cell